A PBEsol-optimized structure of YCoTe2, computed with meta-GGA SCAN.

As for the total energy: -30.670 eV/atom.

It has space group Amm2 (No. 38), with a = 3.682 Å, b = 3.864 Å, c = 13.139 Å, α = 90.00°, β = 90.00° and γ = 90.00°. The inequivalent atoms are Y at (0.000, 0.000, 0.000), Co at (0.500, 0.000, 0.196), Te at (0.000, 0.000, 0.677) and Te at (0.500, 0.000, 0.391).

A PBEsol-optimized structure of YCoTe2, computed with meta-GGA SCAN.

As for the total energy: -30.489 eV/atom.

It has space group P2/m (No. 10), with a = 3.874 Å, b = 3.745 Å, c = 6.654 Å, α = 90.00°, β = 104.60° and γ = 90.00°. The inequivalent atoms are Y at (0.000, 0.000, 0.000), Co at (0.500, 0.000, 0.500) and Te at (0.413, 0.500, 0.733).

A PBEsol-optimized structure of Zn3CoTe, computed with meta-GGA SCAN.

As for the total energy: -17.865 eV/atom.

It has space group Pm-3m (No. 221), with a = 5.097 Å, b = 5.097 Å, c = 5.097 Å, α = 90.00°, β = 90.00° and γ = 90.00°. The inequivalent atoms are Zn at (0.000, 0.000, 0.500), Co at (0.500, 0.500, 0.500) and Te at (0.000, 0.000, 0.000).

A PBEsol-optimized structure of Zn2CoTe, computed with meta-GGA SCAN.

As for the total energy: -20.013 eV/atom.

It has space group R-3m (No. 166, hexagonal axes), with a = 3.0385 Å, b = 3.0385 Å, c = 26.0664 Å, α = 90.00°, β = 90.00° and γ = 120.00°. The inequivalent atoms are Zn at (0.0000, 0.0000, 0.2317), Co at (0.0000, 0.0000, 0.5000) and Te at (0.0000, 0.0000, 0.0000).

A PBEsol-optimized structure of ZnCo4Te, computed with meta-GGA SCAN.

As for the total energy: -19.658 eV/atom.

It has space group F-43m (No. 216), with a = 6.782 Å, b = 6.782 Å, c = 6.782 Å, α = 90.00°, β = 90.00° and γ = 90.00°. The inequivalent atoms are Zn at (0.000, 0.000, 0.000), Co at (0.125, 0.125, 0.375) and Te at (0.250, 0.250, 0.750).

A PBEsol-optimized structure of Zn2CoTe, computed with meta-GGA SCAN.

As for the total energy: -19.901 eV/atom.

It has space group F-43m (No. 216), with a = 6.312 Å, b = 6.312 Å, c = 6.312 Å, α = 90.00°, β = 90.00° and γ = 90.00°. The inequivalent atoms are Zn at (0.000, 0.000, 0.000), Zn at (0.250, 0.250, 0.250), Co at (0.250, 0.250, 0.750) and Te at (0.000, 0.000, 0.500).

A PBEsol-optimized structure of ZnCoTe, computed with meta-GGA SCAN.

As for the total energy: -22.695 eV/atom. The distance to the lowest polymorph of the same formula is 0.000 eV per atom.

It has space group F-43m (No. 216), with a = 5.840 Å, b = 5.840 Å, c = 5.840 Å, α = 90.00°, β = 90.00° and γ = 90.00°. The inequivalent atoms are Zn at (0.000, 0.000, 0.000), Co at (0.250, 0.250, 0.750) and Te at (0.000, 0.000, 0.500).

A PBEsol-optimized structure of ZnCoTe, computed with meta-GGA SCAN.

As for the total energy: -22.346 eV/atom. The distance to the lowest polymorph of the same formula is 0.349 eV per atom.

It has space group I4mm (No. 107), with a = 3.018 Å, b = 3.018 Å, c = 11.472 Å, α = 90.00°, β = 90.00° and γ = 90.00°. The inequivalent atoms are Zn at (0.000, 0.000, 0.000), Co at (0.000, 0.000, 0.625) and Te at (0.000, 0.000, 0.255).